Ce2H2S | PBE | relaxed

E above lowest polymorph ... 0.161 eV per atom
Space group ... No. 71

a = 7.325 Å, b = 7.325 Å, c = 7.325 Å
α = 150.25°, β = 149.48°, γ = 43.15°
Sites, in units of the cell vectors:
Ce: 0.149 0.149 0.000
Ce: 0.851 0.851 0.000
H: 0.256 0.756 0.500
H: 0.744 0.244 0.500
S: 0.000 0.500 0.500